This record from Alexandria describes crystalline ZrTaSe4 at its relaxed geometry. The functional is PBE.

The structure in extended XYZ format:
```
6
Lattice="0.000 3.919 3.919 3.919 0.000 3.919 3.919 3.919 0.000" Properties=species:S:1:pos:R:3 pbc="T T T"
Zr 0.000 0.000 0.000
Ta 1.959 1.959 1.959
Se 4.895 2.942 2.942
Se 2.942 4.895 2.942
Se 2.942 2.942 4.895
Se 4.895 4.895 4.895
```

Results
ρ   8.1 Mg/m³
E_form (uncorrected)   0.747 eV/atom
Excess energy over the best structure of this formula in the dataset   1792 meV per atom
E_tot   -4.977 eV/atom